# Tb2Pr12Er5 (PBE-GGA, relaxed)
# Formation energy ... 2.973 kcal/mol of atoms
# Raw total energy ... -174.0 eV per cell
# Magnetic moment ... 0.0 μB/cell
data_Tb2Pr12Er5
_chemical_formula_sum 'Tb4 Pr24 Er10'
_cell_length_a 15.1934
_cell_length_b 10.7185
_cell_length_c 8.1649
_cell_angle_alpha 90.00
_cell_angle_beta 94.14
_cell_angle_gamma 90.00
_symmetry_space_group_name_H-M 'C 1 2/m 1'
_symmetry_Int_Tables_number 12
loop_
_symmetry_equiv_pos_as_xyz
'x,y,z'
'-x,-y,-z'
'-x,y,-z'
'x,-y,z'
'x+1/2,y+1/2,z'
'-x+1/2,-y+1/2,-z'
'-x+1/2,y+1/2,-z'
'x+1/2,-y+1/2,z'
loop_
_atom_site_label
_atom_site_type_symbol
_atom_site_fract_x
_atom_site_fract_y
_atom_site_fract_z
Tb1 Tb 0.0000 0.2288 0.0000
Pr1 Pr 0.0562 0.0000 0.7147
Pr2 Pr 0.1068 0.2286 0.3852
Pr3 Pr 0.1308 0.5000 0.1070
Pr4 Pr 0.1835 0.2774 0.7919
Er1 Er 0.0000 0.5000 0.5000
Er2 Er 0.1561 0.0000 0.0997
Er3 Er 0.2412 0.5000 0.4893

---

# Tb5Pr2Er12 (PBE-GGA, relaxed)
# Formation energy ... 0.503 kcal/mol of atoms
# Raw total energy ... -87.1 eV per cell
# Magnetic moment ... 0.0 μB/cell
data_Tb5Pr2Er12
_chemical_formula_sum 'Tb5 Pr2 Er12'
_cell_length_a 6.1320
_cell_length_b 9.3822
_cell_length_c 10.6206
_cell_angle_alpha 101.03
_cell_angle_beta 95.56
_cell_angle_gamma 90.11
_symmetry_space_group_name_H-M 'P -1'
_symmetry_Int_Tables_number 2
loop_
_symmetry_equiv_pos_as_xyz
'x,y,z'
'-x,-y,-z'
loop_
_atom_site_label
_atom_site_type_symbol
_atom_site_fract_x
_atom_site_fract_y
_atom_site_fract_z
Tb1 Tb 0.0000 0.0000 0.0000
Tb2 Tb 0.1583 0.6317 0.9482
Tb3 Tb 0.2618 0.0528 0.5797
Pr1 Pr 0.4205 0.6852 0.5267
Er1 Er 0.0528 0.2098 0.3139
Er2 Er 0.1043 0.4207 0.6333
Er3 Er 0.2105 0.8425 0.2613
Er4 Er 0.3156 0.2632 0.8957
Er5 Er 0.3680 0.4741 0.2083
Er6 Er 0.4740 0.8953 0.8441

---

# Tb4PrEr3 (PBE-GGA, relaxed)
# Formation energy ... 0.289 kcal/mol of atoms
# Raw total energy ... -73.8 eV per cell
# Magnetic moment ... 0.0 μB/cell
data_Tb4PrEr3
_chemical_formula_sum 'Tb8 Pr2 Er6'
_cell_length_a 11.3141
_cell_length_b 7.2781
_cell_length_c 6.2848
_cell_angle_alpha 90.00
_cell_angle_beta 90.00
_cell_angle_gamma 90.00
_symmetry_space_group_name_H-M 'P m n 21'
_symmetry_Int_Tables_number 31
loop_
_symmetry_equiv_pos_as_xyz
'x,y,z'
'-x+1/2,-y,z+1/2'
'-x,y,z'
'x+1/2,-y,z+1/2'
loop_
_atom_site_label
_atom_site_type_symbol
_atom_site_fract_x
_atom_site_fract_y
_atom_site_fract_z
Tb1 Tb 0.0000 0.1245 0.0000
Tb2 Tb 0.0000 0.8741 0.4973
Tb3 Tb 0.2476 0.8752 0.8320
Pr1 Pr 0.0000 0.3748 0.4976
Er1 Er 0.0000 0.6251 0.9986
Er2 Er 0.2497 0.3749 0.8317

---

# Tb12PrEr7 (PBE-GGA, relaxed)
# Formation energy ... 16.212 kcal/mol of atoms
# Raw total energy ... -156.4 eV per cell
# Magnetic moment ... 0.0 μB/cell
data_Tb12PrEr7
_chemical_formula_sum 'Tb24 Pr2 Er14'
_cell_length_a 11.3114
_cell_length_b 11.3114
_cell_length_c 11.3114
_cell_angle_alpha 90.00
_cell_angle_beta 90.00
_cell_angle_gamma 90.00
_symmetry_space_group_name_H-M 'I m -3'
_symmetry_Int_Tables_number 204
_symmetry_space_group_name_Hall '-I 2 2 3'
loop_
_atom_site_label
_atom_site_type_symbol
_atom_site_fract_x
_atom_site_fract_y
_atom_site_fract_z
Tb1 Tb 0.0000 0.2575 0.2563
Pr1 Pr 0.0000 0.0000 0.0000
Er1 Er 0.0000 0.0000 0.5000
Er2 Er 0.2500 0.2500 0.2500

---

# Tb3Pr2Er3 (PBE-GGA, relaxed)
# Formation energy ... 3.296 kcal/mol of atoms
# Raw total energy ... -144.0 eV per cell
# Magnetic moment ... 0.0 μB/cell
data_Tb3Pr2Er3
_chemical_formula_sum 'Tb12 Pr8 Er12'
_cell_length_a 5.5955
_cell_length_b 11.8474
_cell_length_c 16.1005
_cell_angle_alpha 90.00
_cell_angle_beta 90.00
_cell_angle_gamma 90.00
_symmetry_space_group_name_H-M 'C m c m'
_symmetry_Int_Tables_number 63
_symmetry_space_group_name_Hall '-C 2c 2'
loop_
_atom_site_label
_atom_site_type_symbol
_atom_site_fract_x
_atom_site_fract_y
_atom_site_fract_z
Tb1 Tb 0.0000 0.0409 0.2500
Tb2 Tb 0.0000 0.1134 0.5527
Pr1 Pr 0.0000 0.2804 0.1278
Er1 Er 0.0000 0.2426 0.7500
Er2 Er 0.0000 0.4174 0.5863

---

# Tb4PrEr4 (PBE-GGA, relaxed)
# Formation energy ... 0.478 kcal/mol of atoms
# Raw total energy ... -82.7 eV per cell
# Magnetic moment ... 0.0 μB/cell
data_Tb4PrEr4
_chemical_formula_sum 'Tb8 Pr2 Er8'
_cell_length_a 10.6702
_cell_length_b 10.6702
_cell_length_c 5.0090
_cell_angle_alpha 90.00
_cell_angle_beta 90.00
_cell_angle_gamma 90.00
_symmetry_space_group_name_H-M 'I 4/m m m'
_symmetry_Int_Tables_number 139
_symmetry_space_group_name_Hall '-I 4 2'
loop_
_atom_site_label
_atom_site_type_symbol
_atom_site_fract_x
_atom_site_fract_y
_atom_site_fract_z
Tb1 Tb 0.0000 0.3335 0.0000
Pr1 Pr 0.0000 0.0000 0.0000
Er1 Er 0.1677 0.1677 0.5000

---

Results for calculated density: 7.12; 8.58; 8.20; 7.39; 7.84; 8.42 (in Mg/m³, following the order of the records).